The following is a DFT calculation (PBE-GGA) of a relaxed structure of Nd2DyAl2.

a b c (Å): 5.6901 5.6901 16.8647
angles (deg): 90.00 90.00 90.00
Space group I4_1/amd (No. 141, origin choice 2)
Inequivalent atoms, fractional coordinates:
Nd 0.0000 0.2500 0.0693 [8 per cell]
Dy 0.0000 0.2500 0.8750 [4 per cell]
Al 0.0000 0.0000 0.5000 [8 per cell]

Properties
The volume comes out at 27.3 Å³/atom. The calculation puts the uncorrected energy at -84.3 eV for the cell shown.

The following is a DFT calculation (PBE-GGA) of a relaxed structure of ZnSnW.

a b c (Å): 6.1921 6.1921 6.1921
angles (deg): 90.00 90.00 90.00
Space group F-43m (No. 216)
Inequivalent atoms, fractional coordinates:
Zn 0.0000 0.0000 0.0000 [4 per cell]
Sn 0.2500 0.2500 0.7500 [4 per cell]
W 0.2500 0.2500 0.2500 [4 per cell]

Properties
The volume comes out at 19.8 Å³/atom. Its offset from the most stable computed form is 0 meV per atom. The calculation puts the uncorrected energy at -60.4 eV for the cell shown.

The following is a DFT calculation (PBE-GGA) of a relaxed structure of KNaFeOs.

a b c (Å): 6.7507 6.7507 6.7507
angles (deg): 90.00 90.00 90.00
Space group F-43m (No. 216)
Inequivalent atoms, fractional coordinates:
K 0.0000 0.0000 0.0000 [4 per cell]
Na 0.2500 0.2500 0.7500 [4 per cell]
Fe 0.2500 0.2500 0.2500 [4 per cell]
Os 0.0000 0.0000 0.5000 [4 per cell]

Properties
The volume comes out at 19.2 Å³/atom. Its offset from the most stable computed form is 0 meV per atom. The calculation puts the uncorrected energy at -66.0 eV for the cell shown.

The following is a DFT calculation (PBE-GGA) of a relaxed structure of LiTaNbRe.

a b c (Å): 6.3528 6.3528 6.3528
angles (deg): 90.00 90.00 90.00
Space group F-43m (No. 216)
Inequivalent atoms, fractional coordinates:
Li 0.0000 0.0000 0.0000 [4 per cell]
Ta 0.2500 0.2500 0.7500 [4 per cell]
Nb 0.2500 0.2500 0.2500 [4 per cell]
Re 0.0000 0.0000 0.5000 [4 per cell]

Properties
The volume comes out at 16.0 Å³/atom. Its offset from the most stable computed form is 0 meV per atom. The calculation puts the uncorrected energy at -144.6 eV for the cell shown.

The following is a DFT calculation (PBE-GGA) of a relaxed structure of Dy2ErLu.

a b c (Å): 5.5607 7.1404 12.3671
angles (deg): 90.00 90.00 90.00
Space group Amm2 (No. 38)
Inequivalent atoms, fractional coordinates:
Dy 0.0000 0.0000 0.0000 [2 per cell]
Dy 0.0000 0.2504 0.2501 [4 per cell]
Dy 0.5000 0.0000 0.3332 [2 per cell]
Er 0.0000 0.0000 0.5003 [2 per cell]
Er 0.5000 0.0000 0.8329 [2 per cell]
Lu 0.5000 0.2504 0.0838 [4 per cell]

Properties
The volume comes out at 30.7 Å³/atom. The calculation puts the formation energy at 0.005 eV/atom. The calculation puts the uncorrected energy at -73.1 eV for the cell shown.

The following is a DFT calculation (PBE-GGA) of a relaxed structure of NpGa5Tc.

a b c (Å): 4.4162 4.4162 6.5217
angles (deg): 90.00 90.00 90.00
Space group P4/mmm (No. 123)
Inequivalent atoms, fractional coordinates:
Np 0.0000 0.0000 0.0000 [1 per cell]
Ga 0.0000 0.5000 0.2970 [4 per cell]
Ga 0.5000 0.5000 0.0000 [1 per cell]
Tc 0.0000 0.0000 0.5000 [1 per cell]

Properties
The volume comes out at 18.2 Å³/atom. The calculation puts the uncorrected energy at -39.3 eV for the cell shown.

The following is a DFT calculation (PBE-GGA) of a relaxed structure of LuTeIr2.

a b c (Å): 6.6946 6.6946 6.6946
angles (deg): 90.00 90.00 90.00
Space group F-43m (No. 216)
Inequivalent atoms, fractional coordinates:
Lu 0.0000 0.0000 0.0000 [4 per cell]
Te 0.2500 0.2500 0.7500 [4 per cell]
Ir 0.0000 0.0000 0.5000 [4 per cell]
Ir 0.2500 0.2500 0.2500 [4 per cell]

Properties
The volume comes out at 18.8 Å³/atom. The calculation puts the uncorrected energy at -100.5 eV for the cell shown.

The following is a DFT calculation (PBE-GGA) of a relaxed structure of NdGeAsO.

a b c (Å): 4.1964 4.1964 9.2719
angles (deg): 90.00 90.00 90.00
Space group P4/nmm (No. 129, origin choice 2)
Inequivalent atoms, fractional coordinates:
Nd 0.2500 0.2500 0.1189 [2 per cell]
Ge 0.2500 0.7500 0.5000 [2 per cell]
As 0.2500 0.2500 0.6926 [2 per cell]
O 0.2500 0.7500 0.0000 [2 per cell]

Properties
The volume comes out at 20.4 Å³/atom. Its offset from the most stable computed form is 0 meV per atom. The calculation puts the uncorrected energy at -49.7 eV for the cell shown.